Version P
Na3SiSn: optimized geometry, GGA-PBE.

Output
Magnetization ... 0.200 μB per atom

a b c (Å): 5.835 5.835 5.835
angles (deg): 90.00 90.00 90.00
Atoms (fractional coordinates):
1 Na 0.000 0.000 0.500
2 Na 0.000 0.500 0.000
3 Na 0.500 0.000 0.000
4 Si 0.500 0.500 0.500
5 Sn 0.000 0.000 0.000


Version Q
Na3SiSn: optimized geometry, GGA-PBE.

Output
Magnetization ... 0.000 μB per atom

a b c (Å): 5.473 5.473 5.473
angles (deg): 90.00 90.00 90.00
Atoms (fractional coordinates):
1 Na 0.000 0.000 0.500
2 Na 0.000 0.500 0.000
3 Na 0.500 0.000 0.000
4 Si 0.000 0.000 0.000
5 Sn 0.500 0.500 0.500


Which of the structures shown above is the most stable? The most stable is version Q.